Crystalline CsCdIn8Ga2 at its relaxed geometry, computed with PBE.

Output
- Formation energy: 27.3 meV/atom
- VASP energy: -58.8 eV/cell

Geometry as CIF:
```
data_CsCdIn8Ga2
_symmetry_space_group_name_H-M 'C 1 2/m 1'
_symmetry_Int_Tables_number 12
_symmetry_space_group_name_Hall '-C 2y'
_cell_length_a 10.397
_cell_length_b 6.818
_cell_length_c 10.254
_cell_angle_alpha 90.00
_cell_angle_beta 109.26
_cell_angle_gamma 90.00
loop_
_atom_site_label
_atom_site_fract_x
_atom_site_fract_y
_atom_site_fract_z
Cs1 0.000 0.000 0.000
Cd1 0.000 0.500 0.500
In1 0.149 0.000 0.428
In2 0.151 0.500 0.988
In3 0.159 0.236 0.732
Ga1 0.099 0.500 0.270
```

Crystalline Tb5U3As8 at its relaxed geometry, computed with PBE.

Output
- Formation energy: -1236.3 meV/atom
- VASP energy: -342.0 eV/cell

Geometry as CIF:
```
data_Tb5U3As8
_symmetry_space_group_name_H-M 'R -3 m'
_symmetry_Int_Tables_number 166
_symmetry_space_group_name_Hall '-R 3 2"'
_cell_length_a 8.1981
_cell_length_b 8.1981
_cell_length_c 20.2929
_cell_angle_alpha 90.00
_cell_angle_beta 90.00
_cell_angle_gamma 120.00
loop_
_atom_site_label
_atom_site_fract_x
_atom_site_fract_y
_atom_site_fract_z
Tb1 0.0000 0.0000 0.0000
Tb2 0.0000 0.0000 0.5000
Tb3 0.0000 0.5000 0.0000
U1 0.0000 0.5000 0.5000
As1 0.0000 0.0000 0.2491
As2 0.0028 0.5014 0.7513
```